No. 1
This record from the Alexandria database describes a relaxed CaPm2Pt3 crystal. The functional is PBE.

Energy of formation (kJ/mol of formula units): -611
Excess energy over the best structure of this formula in the dataset (meV per atom): 0

```
data_CaPm2Pt3
_space_group_name_H-M_alt 'C m m m'
_space_group_IT_number 65
_space_group_name_Hall '-C 2 2'
_cell_length_a 5.0207
_cell_length_b 15.2462
_cell_length_c 3.5348
_cell_angle_alpha 90.00
_cell_angle_beta 90.00
_cell_angle_gamma 90.00
loop_
_atom_site_label
_atom_site_type_symbol
_atom_site_fract_x
_atom_site_fract_y
_atom_site_fract_z
Ca1 Ca 0.0000 0.0000 0.0000
Pm1 Pm 0.0000 0.3380 0.0000
Pt1 Pt 0.0000 0.1766 0.5000
Pt2 Pt 0.0000 0.5000 0.5000
```

---

No. 2
This record from the Alexandria database describes a relaxed Ca3PmPt8 crystal. The functional is PBE.

Energy of formation (kJ/mol of formula units): -1142

```
data_Ca3PmPt8
_space_group_name_H-M_alt 'R 3 m'
_space_group_IT_number 160
_space_group_name_Hall 'R 3 -2"'
_cell_length_a 5.4757
_cell_length_b 5.4757
_cell_length_c 26.6812
_cell_angle_alpha 90.00
_cell_angle_beta 90.00
_cell_angle_gamma 120.00
loop_
_atom_site_label
_atom_site_type_symbol
_atom_site_fract_x
_atom_site_fract_y
_atom_site_fract_z
Ca1 Ca 0.0000 0.0000 0.0000
Ca2 Ca 0.0000 0.0000 0.1232
Ca3 Ca 0.0000 0.0000 0.6284
Pm1 Pm 0.0000 0.0000 0.5019
Pt1 Pt 0.0000 0.0000 0.3135
Pt2 Pt 0.0000 0.0000 0.8132
Pt3 Pt 0.0007 0.5003 0.0637
Pt4 Pt 0.1674 0.3347 0.8964
```